1.
# TmThNi

A relaxed structure of TmThNi (PBE, OQMD).

Summary:
**Crystal system**: cubic
**ΔH_f (0 K)**: -2.0 kcal/mol of atoms
**Energy**: -5.904 eV per atom

abc: 4.760 4.760 4.760
angles: 60.00 60.00 60.00
Positions (direct):
Tm (0.000, 0.000, 0.000)
Th (0.500, 0.500, 0.500)
Ni (0.750, 0.750, 0.750)

2.
# CsTm2CuTe3S

A relaxed structure of CsTm2CuTe3S (PBE, OQMD).

Summary:
**Crystal system**: orthorhombic
**Energy**: -4.529 eV per atom

abc: 7.822 7.822 15.441
angles: 90.00 90.00 148.78
Positions (direct):
Cs (0.123, 0.877, 0.750)
Cs (0.877, 0.123, 0.250)
Tm (0.384, 0.616, 0.560)
Tm (0.384, 0.616, 0.940)
Tm (0.616, 0.384, 0.060)
Tm (0.616, 0.384, 0.440)
Cu (0.168, 0.832, 0.250)
Cu (0.832, 0.168, 0.750)
Te (0.253, 0.747, 0.101)
Te (0.253, 0.747, 0.399)
Te (0.433, 0.567, 0.750)
Te (0.567, 0.433, 0.250)
Te (0.747, 0.253, 0.601)
Te (0.747, 0.253, 0.899)
S (0.000, 0.000, 0.000)
S (0.000, 0.000, 0.500)

3.
# Mg2Pa

A relaxed structure of Mg2Pa (PBE, OQMD).

Summary:
**Crystal system**: hexagonal
**Energy**: -3.873 eV per atom

abc: 5.534 5.534 5.440
angles: 90.00 90.00 120.00
Positions (direct):
Mg (0.000, 0.000, 0.000)
Mg (0.000, 0.323, 0.500)
Mg (0.323, 0.000, 0.500)
Mg (0.677, 0.677, 0.500)
Pa (0.333, 0.667, 0.000)
Pa (0.667, 0.333, 0.000)

4.
# NaHfAuSe3

A relaxed structure of NaHfAuSe3 (PBE, OQMD).

Summary:
**Crystal system**: orthorhombic
**Energy**: -5.094 eV per atom

abc: 10.059 3.918 15.513
angles: 90.00 90.00 90.00
Positions (direct):
Na (0.025, 0.250, 0.205)
Na (0.475, 0.750, 0.705)
Na (0.525, 0.250, 0.295)
Na (0.975, 0.750, 0.795)
Hf (0.167, 0.750, 0.466)
Hf (0.333, 0.250, 0.966)
Hf (0.667, 0.750, 0.034)
Hf (0.833, 0.250, 0.534)
Au (0.249, 0.250, 0.680)
Au (0.251, 0.750, 0.180)
Au (0.749, 0.250, 0.820)
Au (0.751, 0.750, 0.320)
Se (0.009, 0.250, 0.400)
Se (0.174, 0.750, 0.029)
Se (0.181, 0.250, 0.831)
Se (0.319, 0.750, 0.331)
Se (0.326, 0.250, 0.529)
Se (0.491, 0.750, 0.900)
Se (0.509, 0.250, 0.100)
Se (0.674, 0.750, 0.471)
Se (0.681, 0.250, 0.669)
Se (0.819, 0.750, 0.169)
Se (0.826, 0.250, 0.971)
Se (0.991, 0.750, 0.600)

In the order shown, the computed ρ values come out to 10.01; 6.44; 6.44; 6.90 Mg/m³.